Record 1
Here is a relaxed structure of Gd3Mg2ZnGa2Pd from OQMD via LeMat-Bulk. Energies are from PBE-GGA.

Lattice parameters (Å, degrees): 4.337 7.277 7.277 120.34 90.00 90.00
Element x y z (fractional)
Pd 0.000 0.994 0.994
Mg 0.500 0.999 0.234
Mg 0.500 0.234 0.999
Zn 0.500 0.756 0.756
Gd 0.000 0.998 0.589
Gd 0.000 0.426 0.426
Gd 0.000 0.589 0.998
Ga 0.500 0.336 0.668
Ga 0.500 0.668 0.336

Computed properties:
Calculated total energy in eV per cell: -34.82

***

Record 2
Here is a relaxed structure of DyCdNO from OQMD via LeMat-Bulk. Energies are from PBE-GGA.

Lattice parameters (Å, degrees): 3.889 5.484 6.224 90.00 90.00 90.00
Element x y z (fractional)
Cd 0.500 0.974 0.197
Cd 0.500 0.474 0.803
Dy 0.000 0.483 0.311
Dy 0.000 0.983 0.689
N 0.000 0.894 0.341
N 0.000 0.394 0.659
O 0.500 0.403 0.165
O 0.500 0.903 0.835

Computed properties:
Calculated total energy in eV per cell: -48.97
E above lowest polymorph in meV/atom: 18

***

Record 3
Here is a relaxed structure of Pm7GeBr12 from OQMD via LeMat-Bulk. Energies are from PBE-GGA.

Lattice parameters (Å, degrees): 9.409 9.409 9.409 107.88 107.88 107.88
Element x y z (fractional)
Br 0.160 0.389 0.471
Br 0.772 0.922 0.310
Br 0.078 0.690 0.228
Br 0.690 0.228 0.078
Br 0.228 0.078 0.690
Br 0.471 0.160 0.389
Br 0.310 0.772 0.922
Br 0.840 0.611 0.529
Br 0.389 0.471 0.160
Br 0.529 0.840 0.611
Br 0.922 0.310 0.772
Br 0.611 0.529 0.840
Pm 0.035 0.328 0.111
Pm 0.672 0.889 0.965
Pm 0.889 0.965 0.672
Pm 0.111 0.035 0.328
Pm 0.328 0.111 0.035
Pm 0.500 0.500 0.500
Pm 0.965 0.672 0.889
Ge 0.000 0.000 0.000

Computed properties:
Calculated total energy in eV per cell: -91.05

***

Record 4
Here is a relaxed structure of NaHfAuSe3 from OQMD via LeMat-Bulk. Energies are from PBE-GGA.

Lattice parameters (Å, degrees): 13.477 3.878 10.585 90.00 90.00 90.00
Element x y z (fractional)
Se 0.853 0.750 0.274
Se 0.378 0.750 0.639
Se 0.147 0.250 0.726
Se 0.878 0.750 0.861
Se 0.100 0.750 0.438
Se 0.622 0.250 0.361
Se 0.122 0.250 0.139
Se 0.400 0.250 0.938
Se 0.900 0.250 0.562
Se 0.647 0.250 0.774
Se 0.353 0.750 0.226
Se 0.600 0.750 0.062
Na 0.776 0.250 0.054
Na 0.224 0.750 0.946
Na 0.724 0.750 0.554
Na 0.276 0.250 0.446
Hf 0.990 0.250 0.324
Hf 0.510 0.750 0.824
Hf 0.010 0.750 0.676
Hf 0.490 0.250 0.176
Au 0.517 0.250 0.598
Au 0.017 0.250 0.902
Au 0.483 0.750 0.402
Au 0.983 0.750 0.098

Computed properties:
Calculated total energy in eV per cell: -123.09
E above lowest polymorph in meV/atom: 0